1.
Entry from Alexandria: a relaxed structure of Pm4AlZnCu2 (GGA-PBE).

Values from the calculation:
- crystal system = trigonal
- ΔE_f (meV per atom) = -227
- volume (A^3/atom) = 23.982

CIF file:
```
data_Pm4AlZnCu2
_chemical_formula_sum 'Pm12 Al3 Zn3 Cu6'
_symmetry_space_group_name_H-M 'R -3 m'
_symmetry_Int_Tables_number 166
_symmetry_space_group_name_Hall '-R 3 2"'
_cell_length_a 5.1318
_cell_length_b 5.1318
_cell_length_c 25.2372
_cell_angle_alpha 90.00
_cell_angle_beta 90.00
_cell_angle_gamma 120.00
loop_
_atom_site_label
_atom_site_type_symbol
_atom_site_fract_x
_atom_site_fract_y
_atom_site_fract_z
Pm1 Pm 0.0000 0.0000 0.1228
Pm2 Pm 0.0000 0.0000 0.3734
Al1 Al 0.0000 0.0000 0.5000
Zn1 Zn 0.0000 0.0000 0.0000
Cu1 Cu 0.0000 0.0000 0.2451
```



2.
Entry from Alexandria: a relaxed structure of CoSiOs2 (GGA-PBE).

Values from the calculation:
- crystal system = trigonal
- volume (A^3/atom) = 12.975
- formation energy (no corrections) (eV per formula unit) = 0.034

CIF file:
```
data_CoSiOs2
_chemical_formula_sum 'Co3 Si3 Os6'
_symmetry_space_group_name_H-M 'R 3 m'
_symmetry_Int_Tables_number 160
_symmetry_space_group_name_Hall 'R 3 -2"'
_cell_length_a 2.7196
_cell_length_b 2.7196
_cell_length_c 24.3071
_cell_angle_alpha 90.00
_cell_angle_beta 90.00
_cell_angle_gamma 120.00
loop_
_atom_site_label
_atom_site_type_symbol
_atom_site_fract_x
_atom_site_fract_y
_atom_site_fract_z
Co1 Co 0.0000 0.0000 0.0000
Si1 Si 0.0000 0.0000 0.7392
Os1 Os 0.0000 0.0000 0.2471
Os2 Os 0.0000 0.0000 0.4896
```